# 1
First-principles (GGA-PBE) data for crystalline CeTa2CoN4 at its relaxed geometry, as listed in Alexandria via LeMat-Bulk.

The calculation puts the formation energy (no corrections) at -1.0661 eV per atom. Its total magnetization is 0.000 μB/atom. As for the total energy: -9.822 eV per atom. The symmetry is Cmcm, No. 63.

Structure (POSCAR):
```
CeTa2CoN4
1.0
-1.7765 0.8017 -2.5105
4.9300 -1.5844 -1.9827
-3.5715 -10.1994 -0.7298
Ta N Co Ce
4 8 2 2
direct
0.6317 0.2635 0.0590 Ta
0.3683 0.7365 0.9410 Ta
0.3683 0.7365 0.5590 Ta
0.6317 0.2635 0.4410 Ta
0.7287 0.4574 0.8904 N
0.0000 0.0000 0.5000 N
0.0000 0.0000 0.0000 N
0.2713 0.5426 0.1096 N
0.2713 0.5426 0.3904 N
0.5527 0.1054 0.2500 N
0.4473 0.8946 0.7500 N
0.7287 0.4574 0.6096 N
0.8388 0.6776 0.7500 Co
0.1612 0.3224 0.2500 Co
0.1088 0.2176 0.7500 Ce
0.8912 0.7824 0.2500 Ce
```



# 2
First-principles (GGA-PBE) data for crystalline NdYHo2 at its relaxed geometry, as listed in Alexandria via LeMat-Bulk.

Its total magnetization is 0.003 μB/atom. The value obtained for the energy of formation is 0.008 eV per atom. As for the total energy: -5.089 eV per atom. The symmetry is R3m, No. 160.

Structure (POSCAR):
```
NdYHo2
1.0
3.6050 0.0000 0.0000
1.8025 3.1220 0.0000
1.8025 1.0407 11.5325
Ho Nd Y
2 1 1
direct
0.2489 0.2489 0.2534 Ho
0.0844 0.0844 0.7468 Ho
0.6663 0.6663 0.0011 Nd
0.5004 0.5004 0.4988 Y
```



# 3
First-principles (GGA-PBE) data for crystalline Tb8Hg3Se3S at its relaxed geometry, as listed in Alexandria via LeMat-Bulk.

The calculation puts the formation energy (no corrections) at -1.0901 eV per atom. Its total magnetization is 0.000 μB/atom. As for the total energy: -4.592 eV per atom. The symmetry is C2/m, No. 12.

Structure (POSCAR):
```
Tb8Hg3Se3S
1.0
-5.6759 3.6027 -4.3314
0.9513 -7.9238 -0.4477
-3.5371 3.1899 7.2888
Hg Tb Se S
3 8 3 1
direct
0.0000 0.0000 0.0000 Hg
0.5000 0.5000 0.0000 Hg
0.0000 0.5000 0.0000 Hg
0.7586 0.0110 0.2701 Tb
0.7588 0.5178 0.2702 Tb
0.2414 0.9890 0.7299 Tb
0.2574 0.5149 0.2721 Tb
0.7426 0.4851 0.7279 Tb
0.2522 0.0112 0.2704 Tb
0.7478 0.9888 0.7296 Tb
0.2412 0.4822 0.7298 Tb
0.0000 0.5000 0.5000 Se
0.5000 0.5000 0.5000 Se
0.5000 0.0000 0.5000 Se
0.0000 0.0000 0.5000 S
```



# 4
First-principles (GGA-PBE) data for crystalline InReAg2 at its relaxed geometry, as listed in Alexandria via LeMat-Bulk.

Its total magnetization is 0.000 μB/atom. The value obtained for the energy of formation is 0.520 eV per atom. As for the total energy: -4.702 eV per atom. The symmetry is Immm, No. 71.

Structure (POSCAR):
```
InReAg2
1.0
-2.9475 4.3636 -2.7191
-5.5041 1.5838 1.5224
5.7729 -0.6610 1.1652
Re Ag In
1 2 1
direct
0.2500 0.7500 0.5000 Re
0.0111 0.0111 0.0000 Ag
0.4889 0.4889 0.0000 Ag
0.7500 0.2500 0.5000 In
```



# 5
First-principles (GGA-PBE) data for crystalline CePrCuSn at its relaxed geometry, as listed in Alexandria via LeMat-Bulk.

Its total magnetization is 0.431 μB/atom. The value obtained for the energy of formation is -0.320 eV per atom. As for the total energy: -5.024 eV per atom. The symmetry is F-43m, No. 216.

Structure (POSCAR):
```
CePrCuSn
1.0
5.3331 0.0000 0.0000
2.6665 4.6186 0.0000
2.6665 1.5395 4.3544
Sn Pr Ce Cu
1 1 1 1
direct
0.5000 0.5000 0.5000 Sn
0.2500 0.2500 0.2500 Pr
0.7500 0.7500 0.7500 Ce
0.0000 0.0000 0.0000 Cu
```



# 6
First-principles (GGA-PBE) data for crystalline KBaRe3 at its relaxed geometry, as listed in Alexandria via LeMat-Bulk.

Its total magnetization is 1.328 μB/atom. The value obtained for the energy of formation is 3.605 eV per atom. As for the total energy: -4.468 eV per atom. The symmetry is Pm-3m, No. 221.

Structure (POSCAR):
```
KBaRe3
1.0
5.2623 0.0000 0.0000
0.0000 5.2623 0.0000
0.0000 0.0000 5.2623
K Re Ba
1 3 1
direct
0.5000 0.5000 0.5000 K
0.0000 0.5000 0.0000 Re
0.0000 0.0000 0.5000 Re
0.5000 0.0000 0.0000 Re
0.0000 0.0000 0.0000 Ba
```



# 7
First-principles (GGA-PBE) data for crystalline K2InBiO at its relaxed geometry, as listed in Alexandria via LeMat-Bulk.

The calculation puts the formation energy (no corrections) at -0.8248 eV per atom. Its total magnetization is 0.000 μB/atom. As for the total energy: -3.579 eV per atom. The symmetry is P2_1/m, No. 11.

Structure (POSCAR):
```
K2InBiO
1.0
-2.0438 3.8404 1.3634
-7.7584 -3.2259 -2.5434
1.5692 -2.0753 8.1976
Bi O K In
2 2 4 2
direct
0.7500 0.3516 0.7401 Bi
0.2500 0.6484 0.2599 Bi
0.7500 0.1986 0.1502 O
0.2500 0.8014 0.8498 O
0.2500 0.1123 0.9167 K
0.7500 0.7374 0.6351 K
0.2500 0.2626 0.3649 K
0.7500 0.8877 0.0833 K
0.7500 0.4246 0.1234 In
0.2500 0.5754 0.8766 In
```



# 8
First-principles (GGA-PBE) data for crystalline Tl2FeAs at its relaxed geometry, as listed in Alexandria via LeMat-Bulk.

Its total magnetization is 0.784 μB/atom. The value obtained for the energy of formation is 0.598 eV per atom. As for the total energy: -3.863 eV per atom. The symmetry is Pmmm, No. 47.

Structure (POSCAR):
```
Tl2FeAs
1.0
-0.4615 3.7005 -2.1596
-4.8575 0.0470 1.1186
0.8261 2.1439 3.4971
Fe Tl As
1 2 1
direct
0.0000 0.5000 0.5000 Fe
0.5000 0.5000 0.0000 Tl
0.0000 0.0000 0.0000 Tl
0.5000 0.0000 0.5000 As
```



# 9
First-principles (GGA-PBE) data for crystalline Ca2IrPt at its relaxed geometry, as listed in Alexandria via LeMat-Bulk.

Its total magnetization is 0.000 μB/atom. The value obtained for the energy of formation is -0.069 eV per atom. As for the total energy: -4.795 eV per atom. The symmetry is P4mm, No. 99.

Structure (POSCAR):
```
Ca2IrPt
1.0
-3.2869 1.7878 -0.4906
-1.4656 -1.8943 2.9162
1.8538 4.4587 3.8281
Ca Pt Ir
2 1 1
direct
0.5000 0.5000 0.3023 Ca
0.0000 0.0000 0.9448 Ca
0.5000 0.5000 0.7590 Pt
0.0000 0.0000 0.4939 Ir
```



# 10
First-principles (GGA-PBE) data for crystalline K2SbS4 at its relaxed geometry, as listed in Alexandria via LeMat-Bulk.

The calculation puts the formation energy (no corrections) at -0.4690 eV per atom. Its total magnetization is 0.148 μB/atom. As for the total energy: -3.730 eV per atom. The symmetry is Pbam, No. 55.

Structure (POSCAR):
```
K2SbS4
1.0
-0.9365 -0.5850 3.6136
1.8321 -7.9596 -0.8138
12.0955 2.4234 3.5270
S K Sb
8 4 2
direct
0.5000 0.1988 0.4440 S
0.5000 0.8012 0.5560 S
0.0000 0.6232 0.8251 S
0.0000 0.3768 0.1749 S
0.5000 0.3012 0.9440 S
0.0000 0.8768 0.3251 S
0.0000 0.1232 0.6749 S
0.5000 0.6988 0.0560 S
0.5000 0.5710 0.3285 K
0.5000 0.9290 0.8285 K
0.5000 0.4290 0.6715 K
0.5000 0.0710 0.1715 K
0.0000 0.0000 0.5000 Sb
0.0000 0.5000 0.0000 Sb
```



# 11
First-principles (GGA-PBE) data for crystalline Tm2CdAg3 at its relaxed geometry, as listed in Alexandria via LeMat-Bulk.

Its total magnetization is 0.000 μB/atom. The value obtained for the energy of formation is -0.280 eV per atom. As for the total energy: -3.349 eV per atom. The symmetry is P-3m1, No. 164.

Structure (POSCAR):
```
Tm2CdAg3
1.0
4.9638 0.0000 0.0000
-2.4819 4.2988 0.0000
0.0000 0.0000 12.1727
Ag Tm Cd
6 4 2
direct
0.3333 0.6667 0.9221 Ag
0.6667 0.3333 0.0779 Ag
0.0000 0.0000 0.7484 Ag
0.3333 0.6667 0.4210 Ag
0.6667 0.3333 0.5790 Ag
0.0000 0.0000 0.2516 Ag
0.3333 0.6667 0.1778 Tm
0.6667 0.3333 0.8222 Tm
0.0000 0.0000 0.5000 Tm
0.0000 0.0000 0.0000 Tm
0.3333 0.6667 0.6659 Cd
0.6667 0.3333 0.3341 Cd
```



# 12
First-principles (GGA-PBE) data for crystalline AlCdSe at its relaxed geometry, as listed in Alexandria via LeMat-Bulk.

The calculation puts the formation energy (no corrections) at 0.1120 eV per atom. Its total magnetization is 0.000 μB/atom. As for the total energy: -2.602 eV per atom. The symmetry is P-6m2, No. 187.

Structure (POSCAR):
```
AlCdSe
1.0
-2.1469 -2.9357 -3.7060
4.8351 -0.9849 1.6168
-0.9982 -1.7176 1.9388
Se Cd Al
1 1 1
direct
0.6667 0.3333 0.8345 Se
0.3333 0.6667 0.3327 Cd
0.0000 0.0000 0.8328 Al
```